[1]
A geometry-optimized TbDyZn2 structure, computed with GGA-PBE.

POSCAR file:
```
TbDyZn2
1.0
1.805 1.042 8.935
-1.805 1.042 8.935
0.000 -2.084 8.935
Tb Dy Zn
1 1 2
Cartesian
0.000 0.000 0.000
0.000 0.000 13.402
0.000 0.000 6.691
0.000 0.000 20.113
```

Computed properties:
Formation energy = -122 meV per atom
Crystal system = trigonal
Space-group type = R-3m (166)

***

[2]
A geometry-optimized Co2CuAu structure, computed with GGA-PBE.

POSCAR file:
```
Co2CuAu
1.0
3.661 0.000 0.000
0.000 3.661 0.000
0.000 0.000 3.913
Co Cu Au
2 1 1
Cartesian
0.000 1.831 0.000
1.831 0.000 0.000
0.000 0.000 1.957
1.831 1.831 1.957
```

Computed properties:
Formation energy = 206 meV per atom
Crystal system = tetragonal
Space-group type = P4/mmm (123)

***

[3]
A geometry-optimized Gd3YO6 structure, computed with GGA-PBE.

POSCAR file:
```
Gd3YO6
1.0
4.566 -5.668 0.000
4.566 5.668 0.000
0.000 0.000 5.789
Gd Y O
6 2 12
Cartesian
4.566 4.510 2.895
2.728 1.280 3.197
2.728 -1.280 0.303
6.403 1.280 3.197
6.403 -1.280 0.303
4.566 -4.510 0.000
4.566 1.840 0.383
4.566 -1.840 3.278
3.092 2.931 1.529
1.475 0.189 1.573
1.475 -0.189 4.468
4.566 2.520 4.090
6.040 2.931 1.529
4.566 0.194 1.995
4.566 -0.194 4.889
3.092 -2.931 4.423
4.566 -2.520 1.195
7.656 0.189 1.573
7.656 -0.189 4.468
6.040 -2.931 4.423
```

Computed properties:
Formation energy (no corrections) = -3404 meV per atom
Crystal system = orthorhombic
Space-group type = Cmc2_1 (36)

***

[4]
A geometry-optimized BaSmHgBi structure, computed with GGA-PBE.

POSCAR file:
```
BaSmHgBi
1.0
0.000 4.056 4.056
4.056 0.000 4.056
4.056 4.056 0.000
Ba Sm Hg Bi
1 1 1 1
Cartesian
0.000 0.000 0.000
4.056 4.056 4.056
6.084 6.084 6.084
2.028 2.028 2.028
```

Computed properties:
Formation energy = -516 meV per atom
Crystal system = cubic
Space-group type = F-43m (216)